# 1
VASP calculation (GGA-PBE) on a geometry-optimized CsRbNa2 structure.

Lattice parameters (Å, degrees): 9.065 9.065 9.065 102.98 102.98 123.42
Fractional positions:
Cs1 0.000 0.000 0.000
Cs2 0.750 0.250 0.500
Rb1 0.250 0.750 0.500
Rb2 0.500 0.500 0.000
Na1 0.136 0.625 0.011
Na2 0.375 0.386 0.511
Na3 0.614 0.125 0.989
Na4 0.875 0.864 0.489

## Properties
energy above the lowest structure with this stoichiometry: 0.0732 eV/atom
space group: I-42d


# 2
VASP calculation (GGA-PBE) on a geometry-optimized Hf3PPt structure.

Lattice parameters (Å, degrees): 6.078 6.078 9.867 103.68 103.68 34.00
Fractional positions:
Hf1 0.111 0.111 0.211
Hf2 0.157 0.157 0.578
Hf3 0.380 0.380 0.092
Hf4 0.620 0.620 0.908
Hf5 0.843 0.843 0.422
Hf6 0.889 0.889 0.789
P1 0.250 0.250 0.843
P2 0.750 0.750 0.157
Pt1 0.464 0.464 0.623
Pt2 0.536 0.536 0.377

## Properties
energy above the lowest structure with this stoichiometry: 0.0275 eV/atom
space group: C2/m


# 3
VASP calculation (GGA-PBE) on a geometry-optimized PuTiTl2 structure.

Lattice parameters (Å, degrees): 10.435 10.435 10.435 18.27 18.27 18.27
Fractional positions:
Pu1 0.000 0.000 0.000
Ti1 0.500 0.500 0.500
Tl1 0.243 0.243 0.243
Tl2 0.757 0.757 0.757

## Properties
energy above the lowest structure with this stoichiometry: 0.1017 eV/atom
space group: R-3m


# 4
VASP calculation (GGA-PBE) on a geometry-optimized Tb4NdTm7 structure.

Lattice parameters (Å, degrees): 6.683 6.683 12.561 115.01 115.01 51.54
Fractional positions:
Tb1 0.133 0.133 0.275
Tb2 0.257 0.257 0.821
Tb3 0.743 0.743 0.179
Tb4 0.867 0.867 0.725
Nd1 0.500 0.500 0.500
Tm1 0.000 0.000 0.500
Tm2 0.134 0.134 0.002
Tm3 0.289 0.289 0.577
Tm4 0.439 0.439 0.174
Tm5 0.561 0.561 0.826
Tm6 0.711 0.711 0.423
Tm7 0.866 0.866 0.998

## Properties
energy above the lowest structure with this stoichiometry: 0.2765 eV/atom
space group: C2/m


# 5
VASP calculation (GGA-PBE) on a geometry-optimized LiScInPb structure.

Lattice parameters (Å, degrees): 5.058 5.058 5.058 60.00 60.00 60.00
Fractional positions:
Li1 0.000 0.000 0.000
Sc1 0.500 0.500 0.500
In1 0.250 0.250 0.250
Pb1 0.750 0.750 0.750

## Properties
energy above the lowest structure with this stoichiometry: 0.0753 eV/atom
space group: F-43m


# 6
VASP calculation (GGA-PBE) on a geometry-optimized Ho2InCo2 structure.

Lattice parameters (Å, degrees): 5.545 5.545 7.820 103.52 103.52 58.31
Fractional positions:
Ho1 0.007 0.699 0.853
Ho2 0.301 0.993 0.647
Ho3 0.699 0.007 0.353
Ho4 0.993 0.301 0.147
In1 0.352 0.648 0.250
In2 0.648 0.352 0.750
Co1 0.194 0.506 0.493
Co2 0.494 0.806 0.007
Co3 0.506 0.194 0.993
Co4 0.806 0.494 0.507

## Properties
raw total energy: -5.54 eV per atom
space group: C2/c


# 7
VASP calculation (GGA-PBE) on a geometry-optimized ErTmGe2 structure.

Lattice parameters (Å, degrees): 4.714 4.714 3.961 90.00 90.00 90.00
Fractional positions:
Er1 0.000 0.000 0.000
Tm1 0.500 0.500 0.000
Ge1 0.000 0.500 0.500
Ge2 0.500 0.000 0.500

## Properties
energy above the lowest structure with this stoichiometry: 0.2298 eV/atom
space group: P4/mmm


# 8
VASP calculation (GGA-PBE) on a geometry-optimized Ga3AgN structure.

Lattice parameters (Å, degrees): 4.361 4.361 4.361 90.00 90.00 90.00
Fractional positions:
Ga1 0.000 0.000 0.500
Ga2 0.000 0.500 0.000
Ga3 0.500 0.000 0.000
Ag1 0.500 0.500 0.500
N1 0.000 0.000 0.000

## Properties
energy above the lowest structure with this stoichiometry: 0.0000 eV/atom
space group: Pm-3m
energy relative to the elements, uncorrected: 0.44 eV/atom


# 9
VASP calculation (GGA-PBE) on a geometry-optimized MgB4 structure.

Lattice parameters (Å, degrees): 7.013 7.013 3.965 90.00 90.00 90.00
Fractional positions:
Mg1 0.160 0.340 0.000
Mg2 0.340 0.840 0.000
Mg3 0.660 0.160 0.000
Mg4 0.840 0.660 0.000
B1 0.000 0.000 0.203
B2 0.000 0.000 0.797
B3 0.035 0.822 0.500
B4 0.085 0.585 0.500
B5 0.178 0.035 0.500
B6 0.322 0.535 0.500
B7 0.415 0.085 0.500
B8 0.465 0.322 0.500
B9 0.500 0.500 0.203
B10 0.500 0.500 0.797
B11 0.535 0.678 0.500
B12 0.585 0.915 0.500
B13 0.678 0.465 0.500
B14 0.822 0.965 0.500
B15 0.915 0.415 0.500
B16 0.965 0.178 0.500

## Properties
energy above the lowest structure with this stoichiometry: 0.1064 eV/atom
space group: P4/mbm


# 10
VASP calculation (GGA-PBE) on a geometry-optimized MgZnSi structure.

Lattice parameters (Å, degrees): 4.246 4.246 3.344 90.00 90.00 120.00
Fractional positions:
Mg1 0.000 0.000 0.000
Zn1 0.333 0.667 0.500
Si1 0.667 0.333 0.500

## Properties
space group: P-6m2
energy relative to the elements, uncorrected: 0.04 eV/atom


# 11
VASP calculation (GGA-PBE) on a geometry-optimized In2PAu structure.

Lattice parameters (Å, degrees): 3.696 3.696 6.987 90.00 90.00 90.00
Fractional positions:
In1 0.000 0.000 0.000
In2 0.500 0.500 0.253
P1 0.000 0.000 0.633
Au1 0.500 0.500 0.649

## Properties
raw total energy: -3.40 eV per atom
space group: P4mm


# 12
VASP calculation (GGA-PBE) on a geometry-optimized CsLaCl4O3 structure.

Lattice parameters (Å, degrees): 6.919 7.626 10.251 90.00 100.59 90.00
Fractional positions:
Cs1 0.227 0.250 0.357
Cs2 0.773 0.750 0.643
La1 0.409 0.250 0.881
La2 0.591 0.750 0.119
Cl1 0.244 0.012 0.662
Cl2 0.244 0.488 0.662
Cl3 0.260 0.000 0.059
Cl4 0.260 0.500 0.059
Cl5 0.740 0.000 0.941
Cl6 0.740 0.500 0.941
Cl7 0.756 0.512 0.338
Cl8 0.756 0.988 0.338
O1 0.070 0.250 0.762
O2 0.478 0.250 0.128
O3 0.488 0.250 0.654
O4 0.512 0.750 0.346
O5 0.522 0.750 0.872
O6 0.930 0.750 0.238

## Properties
space group: P2_1/m
energy relative to the elements, uncorrected: -0.84 eV/atom